A plane-wave DFT calculation with PBE was carried out for a geometry-optimized PmPr4Sm2Cd structure.

```
8
Lattice="5.8690 0.0000 0.0000 0.0001 5.6786 1.4789 0.0001 3.7349 8.9560" Properties=species:S:1:pos:R:3 pbc="T T T"
Pm 0.0001 4.7067 5.2175
Pr 5.8690 2.3936 2.4546
Pr 0.0001 7.0198 7.9803
Pr 2.9346 5.2311 3.1996
Pr 2.9346 4.1824 7.2353
Sm 0.0001 3.7349 8.9560
Sm 2.9346 1.8675 4.4780
Cd 2.9346 6.5742 9.6954
```

Properties
As for the formation energy: 0.1 eV/f.u. The density of states at the Fermi level is 12.190 states/eV per cell.